1.
A plane-wave DFT calculation with GGA-PBE was carried out for BeCo2Se after structural relaxation.

CIF file:
```
data_BeCo2Se
_chemical_formula_sum 'Be4 Co8 Se4'
_space_group_name_H-M_alt 'F -4 3 m'
_space_group_IT_number 216
_space_group_name_Hall 'F -4 2 3'
_cell_length_a 5.7524
_cell_length_b 5.7524
_cell_length_c 5.7524
_cell_angle_alpha 90.00
_cell_angle_beta 90.00
_cell_angle_gamma 90.00
loop_
_atom_site_label
_atom_site_type_symbol
_atom_site_fract_x
_atom_site_fract_y
_atom_site_fract_z
Be1 Be 0.0000 0.0000 0.0000
Co1 Co 0.0000 0.0000 0.5000
Co2 Co 0.2500 0.2500 0.2500
Se1 Se 0.2500 0.2500 0.7500
```

Summary:
The energy above the most stable polymorph in this dataset comes out at 314 meV per atom. As for the calculated total energy: -4.967 eV/atom. For the energy relative to the elements, uncorrected, the calculation gives 8.95 kcal/mol of atoms.

2.
A plane-wave DFT calculation with GGA-PBE was carried out for Ti3Nb2Ga5 after structural relaxation.

CIF file:
```
data_Ti3Nb2Ga5
_chemical_formula_sum 'Ti12 Nb8 Ga20'
_space_group_name_H-M_alt 'I b a m'
_space_group_IT_number 72
_space_group_name_Hall '-I 2 2c'
_cell_length_a 9.9099
_cell_length_b 13.3463
_cell_length_c 5.2824
_cell_angle_alpha 90.00
_cell_angle_beta 90.00
_cell_angle_gamma 90.00
loop_
_atom_site_label
_atom_site_type_symbol
_atom_site_fract_x
_atom_site_fract_y
_atom_site_fract_z
Ti1 Ti 0.0000 0.0000 0.2500
Ti2 Ti 0.0828 0.3338 0.0000
Nb1 Nb 0.1223 0.2003 0.5000
Ga1 Ga 0.0000 0.5000 0.2500
Ga2 Ga 0.1563 0.1505 0.0000
Ga3 Ga 0.2427 0.5000 0.2500
```

Summary:
The energy of formation from the pure elements is -0.1 eV/f.u. As for the calculated total energy: -5.908 eV/atom.

3.
A plane-wave DFT calculation with GGA-PBE was carried out for CaPmNd3 after structural relaxation.

CIF file:
```
data_CaPmNd3
_chemical_formula_sum 'Ca4 Pm4 Nd12'
_space_group_name_H-M_alt 'C m m m'
_space_group_IT_number 65
_space_group_name_Hall '-C 2 2'
_cell_length_a 5.5704
_cell_length_b 11.4769
_cell_length_c 11.4840
_cell_angle_alpha 90.00
_cell_angle_beta 90.00
_cell_angle_gamma 90.00
loop_
_atom_site_label
_atom_site_type_symbol
_atom_site_fract_x
_atom_site_fract_y
_atom_site_fract_z
Ca1 Ca 0.0000 0.1562 0.0000
Pm1 Pm 0.0000 0.3621 0.5000
Nd1 Nd 0.0000 0.1532 0.3056
Nd2 Nd 0.0000 0.5000 0.1864
```

Summary:
The energy of formation from the pure elements is 0.8 eV/f.u. The energy above the most stable polymorph in this dataset comes out at 0 meV per atom. As for the calculated total energy: -4.049 eV/atom.